A geometry-optimized Pu2InMo structure, computed with PBE-GGA.

Structure (POSCAR):
```
Pu2InMo
1.0
3.2194 0.0000 0.0000
1.6097 2.7881 0.0000
1.6097 0.9294 10.9384
Mo Pu In
1 2 1
Cartesian
3.2194 1.8587 5.4692 Mo
4.8291 2.7881 3.2640 Pu
1.6097 0.9294 7.6745 Pu
0.0000 0.0000 0.0000 In
```

Summary:
The calculation puts the density of states at the Fermi level at 13.7 states/eV/f.u. Its calculated volume is 98.18 Å³/cell. The excess energy over the best structure of this formula in the dataset is 0.146 eV/atom. As for the formation energy from the elements: 0.3820 eV per atom. Its raw total energy is -10.18 eV/atom.